Computed, not measured: an optimized crystal structure of HIF at the PBE level of DFT.

a = 14.575 Å, b = 4.843 Å, c = 4.215 Å
α = 90.00°, β = 90.00°, γ = 90.00°
Space group Ima2 (No. 46)
One atom of each set of equivalent atoms:
H (0.250, 0.227, 0.000) (multiplicity 4)
I (0.000, 0.000, 0.706) (multiplicity 4)
F (0.250, 0.126, 0.207) (multiplicity 4)

## Properties
**Energy above the most stable polymorph in this dataset**: 15 meV per atom

Computed, not measured: an optimized crystal structure of HI2F at the PBE level of DFT.

a = 5.339 Å, b = 5.339 Å, c = 13.434 Å
α = 90.00°, β = 90.00°, γ = 90.00°
Space group I-42d (No. 122)
One atom of each set of equivalent atoms:
H (0.000, 0.000, 0.000) (multiplicity 4)
I (0.125, 0.250, 0.125) (multiplicity 8)
F (0.000, 0.000, 0.500) (multiplicity 4)

## Properties
**Energy above the most stable polymorph in this dataset**: 0 meV per atom

Which of these has the lowest energy above the most stable polymorph in this dataset?
HI2F

Which value of energy above the most stable polymorph in this dataset does entry 1 give?
15 meV per atom